A plane-wave DFT calculation with PBE+U was carried out for crystalline Pr2PuVO6 at its relaxed geometry.

Calculated values
Density (g/cm³): 7.8
Density of states at the Fermi level (states/eV per atom): 0.015
E_tot (eV per atom): -8.997
Volume (Å³ per cell): 286.96

```
data_Pr2PuVO6
_cell_length_a 5.7428
_cell_length_b 5.9952
_cell_length_c 10.0285
_cell_angle_alpha 90.00
_cell_angle_beta 123.79
_cell_angle_gamma 90.00
_symmetry_space_group_name_H-M 'P 1'
_symmetry_Int_Tables_number 1
loop_
_symmetry_equiv_pos_as_xyz
'x,y,z'
loop_
_atom_site_label
_atom_site_type_symbol
_atom_site_fract_x
_atom_site_fract_y
_atom_site_fract_z
Pr1 Pr 0.2282 0.0590 0.2483
Pr2 Pr 0.2282 0.4410 0.7483
Pr3 Pr 0.7718 0.5590 0.2517
Pr4 Pr 0.7718 0.9410 0.7517
Pu1 Pu 0.5000 0.0000 0.0000
Pu2 Pu 0.5000 0.5000 0.5000
V1 V 0.0000 0.0000 0.5000
V2 V 0.0000 0.5000 0.0000
O1 O 0.1263 0.2000 0.9367
O2 O 0.1263 0.3000 0.4367
O3 O 0.2322 0.6967 0.9331
O4 O 0.2322 0.8033 0.4331
O5 O 0.3695 0.0520 0.7445
O6 O 0.3695 0.4480 0.2445
O7 O 0.6305 0.5520 0.7555
O8 O 0.6305 0.9480 0.2555
O9 O 0.7678 0.1967 0.5669
O10 O 0.7678 0.3033 0.0669
O11 O 0.8737 0.7000 0.5633
O12 O 0.8737 0.8000 0.0633
```